Computed, not measured: an optimized crystal structure of BaMg2Tl2In at the PBE level of DFT.

The structure belongs to space group P-3m1 (No. 164); the cell edges are 5.0228, 5.0228 and 8.2452 Å and the angles 90.00°, 90.00° and 120.00°. The inequivalent atoms are Ba at (0.0000, 0.0000, 0.0000), Mg at (0.3333, 0.6667, 0.6394), Tl at (0.3333, 0.6667, 0.2494) and In at (0.0000, 0.0000, 0.5000).

The calculation puts the uncorrected energy at -2.32 eV per atom.